Entry 1:
# KPdSe2O6 PBE optimized geometry
# * formation energy from raw total energies: -757 meV per atom
# * magnetic moment: 0.978 μB per formula unit
data_KPdSe2O6
_space_group_name_H-M_alt 'R -3'
_space_group_IT_number 148
_space_group_name_Hall '-R 3'
_cell_length_a 5.4744
_cell_length_b 5.4744
_cell_length_c 18.7019
_cell_angle_alpha 90.00
_cell_angle_beta 90.00
_cell_angle_gamma 120.00
loop_
_atom_site_label
_atom_site_fract_x
_atom_site_fract_y
_atom_site_fract_z
K1 0.0000 0.0000 0.0000
Pd1 0.0000 0.0000 0.5000
Se1 0.0000 0.0000 0.2644
O1 0.0084 0.3995 0.9020


Entry 2:
# HfReBiOs2 PBE optimized geometry
# * magnetic moment: 0.191 μB per formula unit
# * DFT formation energy: 254 kJ per mole of atoms
data_HfReBiOs2
_space_group_name_H-M_alt 'P 4/m m m'
_space_group_IT_number 123
_space_group_name_Hall '-P 4 2'
_cell_length_a 4.748
_cell_length_b 4.748
_cell_length_c 5.233
_cell_angle_alpha 90.00
_cell_angle_beta 90.00
_cell_angle_gamma 90.00
loop_
_atom_site_label
_atom_site_fract_x
_atom_site_fract_y
_atom_site_fract_z
Hf1 0.000 0.000 0.000
Re1 0.500 0.500 0.500
Bi1 0.000 0.000 0.500
Os1 0.000 0.500 0.000


Entry 3:
# Cs2ZrTlI6 PBE optimized geometry
# * excess energy over the best structure of this formula in the dataset: 12 meV/atom
# * formation energy from raw total energies: -1068 meV per atom
# * magnetic moment: 1.000 μB per formula unit
data_Cs2ZrTlI6
_space_group_name_H-M_alt 'F m -3 m'
_space_group_IT_number 225
_space_group_name_Hall '-F 4 2 3'
_cell_length_a 12.604
_cell_length_b 12.604
_cell_length_c 12.604
_cell_angle_alpha 90.00
_cell_angle_beta 90.00
_cell_angle_gamma 90.00
loop_
_atom_site_label
_atom_site_fract_x
_atom_site_fract_y
_atom_site_fract_z
Cs1 0.250 0.250 0.250
Zr1 0.000 0.000 0.000
Tl1 0.000 0.000 0.500
I1 0.000 0.000 0.232


Entry 4:
# Pr6GaAs2Se3 PBE optimized geometry
# * formation energy from raw total energies: -1547 meV per atom
# * magnetic moment: 0.000 μB per formula unit
data_Pr6GaAs2Se3
_space_group_name_H-M_alt 'C 1 2/m 1'
_space_group_IT_number 12
_cell_length_a 18.808
_cell_length_b 4.266
_cell_length_c 8.680
_cell_angle_alpha 90.00
_cell_angle_beta 103.45
_cell_angle_gamma 90.00
loop_
_space_group_symop_operation_xyz
'x,y,z'
'-x,-y,-z'
'-x,y,-z'
'x,-y,z'
'x+1/2,y+1/2,z'
'-x+1/2,-y+1/2,-z'
'-x+1/2,y+1/2,-z'
'x+1/2,-y+1/2,z'
loop_
_atom_site_label
_atom_site_fract_x
_atom_site_fract_y
_atom_site_fract_z
Pr1 0.001 0.000 0.250
Pr2 0.165 0.500 0.088
Pr3 0.169 0.500 0.577
Ga1 0.000 0.500 0.000
As1 0.167 0.000 0.334
Se1 0.000 0.500 0.500
Se2 0.168 0.000 0.832


Entry 5:
# CaTbPmHo PBE optimized geometry
# * magnetic moment: 0.000 μB per formula unit
# * DFT formation energy: 14 kJ per mole of atoms
data_CaTbPmHo
_space_group_name_H-M_alt 'F -4 3 m'
_space_group_IT_number 216
_space_group_name_Hall 'F -4 2 3'
_cell_length_a 8.172
_cell_length_b 8.172
_cell_length_c 8.172
_cell_angle_alpha 90.00
_cell_angle_beta 90.00
_cell_angle_gamma 90.00
loop_
_atom_site_label
_atom_site_fract_x
_atom_site_fract_y
_atom_site_fract_z
Ca1 0.000 0.000 0.000
Tb1 0.250 0.250 0.250
Pm1 0.250 0.250 0.750
Ho1 0.000 0.000 0.500


Entry 6:
# SnP2Rh PBE optimized geometry
# * magnetic moment: 0.000 μB per formula unit
# * DFT formation energy: -17 kJ per mole of atoms
data_SnP2Rh
_space_group_name_H-M_alt 'I -4 2 d'
_space_group_IT_number 122
_space_group_name_Hall 'I -4 2bw'
_cell_length_a 5.573
_cell_length_b 5.573
_cell_length_c 11.383
_cell_angle_alpha 90.00
_cell_angle_beta 90.00
_cell_angle_gamma 90.00
loop_
_atom_site_label
_atom_site_fract_x
_atom_site_fract_y
_atom_site_fract_z
Sn1 0.000 0.000 0.000
P1 0.198 0.250 0.625
Rh1 0.000 0.000 0.500


Entry 7:
# Sm2VCrN5 PBE optimized geometry
# * formation energy from raw total energies: -1024 meV per atom
# * magnetic moment: 1.941 μB per formula unit
data_Sm2VCrN5
_space_group_name_H-M_alt 'C m c 21'
_space_group_IT_number 36
_cell_length_a 3.275
_cell_length_b 13.665
_cell_length_c 9.971
_cell_angle_alpha 90.00
_cell_angle_beta 90.00
_cell_angle_gamma 90.00
loop_
_space_group_symop_operation_xyz
'x,y,z'
'-x,-y,z+1/2'
'-x,y,z'
'x,-y,z+1/2'
'x+1/2,y+1/2,z'
'-x+1/2,-y+1/2,z+1/2'
'-x+1/2,y+1/2,z'
'x+1/2,-y+1/2,z+1/2'
loop_
_atom_site_label
_atom_site_fract_x
_atom_site_fract_y
_atom_site_fract_z
Sm1 0.000 0.117 0.000
Sm2 0.000 0.135 0.638
V1 0.000 0.440 0.767
Cr1 0.000 0.212 0.356
N1 0.000 0.044 0.354
N2 0.000 0.293 0.970
N3 0.000 0.315 0.705
N4 0.000 0.345 0.330
N5 0.000 0.498 0.113


Entry 8:
# Nd3Si2PPt9 PBE optimized geometry
# * formation energy from raw total energies: -780 meV per atom
# * magnetic moment: 0.000 μB per formula unit
data_Nd3Si2PPt9
_space_group_name_H-M_alt 'P -3 m 1'
_space_group_IT_number 164
_space_group_name_Hall '-P 3 2"'
_cell_length_a 6.5691
_cell_length_b 6.5691
_cell_length_c 8.0970
_cell_angle_alpha 90.00
_cell_angle_beta 90.00
_cell_angle_gamma 120.00
loop_
_atom_site_label
_atom_site_fract_x
_atom_site_fract_y
_atom_site_fract_z
Nd1 0.0000 0.0000 0.0000
Nd2 0.3333 0.6667 0.6732
Si1 0.3333 0.6667 0.1939
P1 0.0000 0.0000 0.5000
Pt1 0.0000 0.5000 0.0000
Pt2 0.1448 0.2895 0.2953


Entry 9:
# LiCeEr2Tl4 PBE optimized geometry
# * magnetic moment: 0.862 μB per formula unit
# * DFT formation energy: -27 kJ per mole of atoms
data_LiCeEr2Tl4
_space_group_name_H-M_alt 'R -3 m'
_space_group_IT_number 166
_space_group_name_Hall '-R 3 2"'
_cell_length_a 5.2365
_cell_length_b 5.2365
_cell_length_c 26.9159
_cell_angle_alpha 90.00
_cell_angle_beta 90.00
_cell_angle_gamma 120.00
loop_
_atom_site_label
_atom_site_fract_x
_atom_site_fract_y
_atom_site_fract_z
Li1 0.0000 0.0000 0.0000
Ce1 0.0000 0.0000 0.5000
Er1 0.0000 0.0000 0.2549
Tl1 0.0000 0.0000 0.1210
Tl2 0.0000 0.0000 0.3717


Entry 10:
# Sm6Al39Cr8 PBE optimized geometry
# * magnetic moment: 9.571 μB per formula unit
# * DFT formation energy: -27 kJ per mole of atoms
data_Sm6Al39Cr8
_space_group_name_H-M_alt 'P 63/m c m'
_space_group_IT_number 193
_space_group_name_Hall '-P 6c 2'
_cell_length_a 10.9672
_cell_length_b 10.9672
_cell_length_c 17.4215
_cell_angle_alpha 90.00
_cell_angle_beta 90.00
_cell_angle_gamma 120.00
loop_
_atom_site_label
_atom_site_fract_x
_atom_site_fract_y
_atom_site_fract_z
Sm1 0.0000 0.4671 0.0972
Al1 0.0000 0.1524 0.7500
Al2 0.0000 0.1531 0.1160
Al3 0.0000 0.2495 0.5285
Al4 0.1541 0.5492 0.2500
Al5 0.1654 0.3967 0.6616
Al6 0.2498 0.4996 0.0000
Cr1 0.0000 0.0000 0.0000
Cr2 0.0000 0.2577 0.2500
Cr3 0.3333 0.6667 0.1324


Entry 11:
# NaZn2I PBE optimized geometry
# * excess energy over the best structure of this formula in the dataset: 0 meV/atom
# * formation energy from raw total energies: -102 meV per atom
# * magnetic moment: 0.000 μB per formula unit
data_NaZn2I
_space_group_name_H-M_alt 'I -4 2 d'
_space_group_IT_number 122
_space_group_name_Hall 'I -4 2bw'
_cell_length_a 9.198
_cell_length_b 9.198
_cell_length_c 5.806
_cell_angle_alpha 90.00
_cell_angle_beta 90.00
_cell_angle_gamma 90.00
loop_
_atom_site_label
_atom_site_fract_x
_atom_site_fract_y
_atom_site_fract_z
Na1 0.000 0.000 0.000
Zn1 0.249 0.750 0.625
I1 0.000 0.000 0.500


Entry 12:
# NiRuAu2 PBE optimized geometry
# * excess energy over the best structure of this formula in the dataset: 211 meV/atom
# * magnetic moment: 2.169 μB per formula unit
# * DFT formation energy: 39 kJ per mole of atoms
data_NiRuAu2
_space_group_name_H-M_alt 'F m -3 m'
_space_group_IT_number 225
_space_group_name_Hall '-F 4 2 3'
_cell_length_a 6.306
_cell_length_b 6.306
_cell_length_c 6.306
_cell_angle_alpha 90.00
_cell_angle_beta 90.00
_cell_angle_gamma 90.00
loop_
_atom_site_label
_atom_site_fract_x
_atom_site_fract_y
_atom_site_fract_z
Ni1 0.000 0.000 0.000
Ru1 0.000 0.000 0.500
Au1 0.250 0.250 0.250